GdScInHg | GGA-PBE | optimized geometry

* density of states at the Fermi level: 0.949 states/eV/atom
* energy relative to the elements: -442 meV per atom
* calculated total energy: -6.305 eV/atom
* symmetry: F-43m, No. 216

```
GdScInHg
1.0
0.000 3.671 3.671
3.671 0.000 3.671
3.671 3.671 0.000
Gd Sc In Hg
1 1 1 1
direct
0.000 0.000 0.000
0.500 0.500 0.500
0.250 0.250 0.250
0.750 0.750 0.750
```

=====

ThAg2Pt9 | GGA-PBE | optimized geometry

* density of states at the Fermi level: 0.791 states/eV/atom
* energy relative to the elements: -385 meV per atom
* calculated total energy: -6.009 eV/atom
* symmetry: R-3m, No. 166

```
ThAg2Pt9
1.0
2.682 1.549 8.748
-2.682 1.549 8.748
0.000 -3.097 8.748
Th Ag Pt
1 2 9
direct
0.000 0.000 0.000
0.148 0.148 0.148
0.852 0.852 0.852
0.082 0.587 0.587
0.334 0.334 0.334
0.413 0.413 0.918
0.413 0.918 0.413
0.500 0.500 0.500
0.587 0.082 0.587
0.587 0.587 0.082
0.666 0.666 0.666
0.918 0.413 0.413
```

=====

SmTm2C2 | GGA-PBE | optimized geometry

* density of states at the Fermi level: 0.445 states/eV/atom
* energy relative to the elements: -226 meV per atom
* calculated total energy: -6.648 eV/atom
* symmetry: Immm, No. 71

```
SmTm2C2
1.0
-1.830 2.484 5.609
1.830 -2.484 5.609
1.830 2.484 -5.609
Sm Tm C
1 2 2
direct
0.000 0.000 0.000
0.309 0.309 0.000
0.691 0.691 0.000
0.167 0.667 0.500
0.833 0.333 0.500
```

=====

TaHgP | GGA-PBE | optimized geometry

* offset from the most stable computed form: 0.605 eV/atom
* density of states at the Fermi level: 1.331 states/eV/atom
* energy relative to the elements: 570 meV per atom
* calculated total energy: -5.285 eV/atom
* symmetry: F-43m, No. 216

```
TaHgP
1.0
0.000 3.157 3.157
3.157 0.000 3.157
3.157 3.157 0.000
Ta Hg P
1 1 1
direct
0.000 0.000 0.000
0.250 0.250 0.250
0.750 0.750 0.750
```

=====

NaCdGa3 | GGA-PBE | optimized geometry

* offset from the most stable computed form: 0.420 eV/atom
* density of states at the Fermi level: 0.710 states/eV/atom
* energy relative to the elements: 328 meV per atom
* calculated total energy: -1.935 eV/atom
* symmetry: Pm-3m, No. 221

```
NaCdGa3
1.0
5.265 0.000 0.000
0.000 5.265 0.000
0.000 0.000 5.265
Na Cd Ga
1 1 3
direct
0.000 0.000 0.000
0.500 0.500 0.500
0.000 0.500 0.500
0.500 0.000 0.500
0.500 0.500 0.000
```

=====

K2ScW | GGA-PBE | optimized geometry

* offset from the most stable computed form: 0.000 eV/atom
* density of states at the Fermi level: 0.849 states/eV/atom
* energy relative to the elements: 891 meV per atom
* calculated total energy: -4.479 eV/atom
* symmetry: Cmm2, No. 35

```
K2ScW
1.0
2.052 -2.374 0.000
2.052 2.374 0.000
0.000 0.000 12.553
K Sc W
2 1 1
direct
0.000 0.000 0.000
0.500 0.500 0.335
0.500 0.500 0.717
0.000 0.000 0.567
```

=====

CaUPa2P4 | GGA-PBE | optimized geometry

* density of states at the Fermi level: 1.579 states/eV/atom
* energy relative to the elements: -1173 meV per atom
* calculated total energy: -7.913 eV/atom
* symmetry: P2/m, No. 10

```
CaUPa2P4
1.0
6.900 0.000 0.000
0.000 3.987 0.000
-2.306 0.000 6.547
Ca U Pa P
1 1 2 4
direct
0.000 0.000 0.000
0.000 0.500 0.500
0.500 0.000 0.500
0.500 0.500 0.000
0.252 0.000 0.747
0.258 0.500 0.258
0.742 0.500 0.742
0.748 0.000 0.253
```

=====

MnCdIn2I | GGA-PBE | optimized geometry

* formation energy (no corrections): 0.41 eV per atom
* density of states at the Fermi level: 0.436 states/eV/atom
* calculated total energy: -3.010 eV/atom
* symmetry: P4/mmm, No. 123

```
MnCdIn2I
1.0
5.609 0.000 0.000
0.000 5.609 0.000
0.000 0.000 5.371
Mn Cd In I
1 1 2 1
direct
0.000 0.000 0.000
0.000 0.000 0.500
0.000 0.500 0.500
0.500 0.000 0.500
0.500 0.500 0.000
```

=====

TmSc2Hg2 | GGA-PBE | optimized geometry

* density of states at the Fermi level: 1.034 states/eV/atom
* energy relative to the elements: -357 meV per atom
* calculated total energy: -3.904 eV/atom
* symmetry: Cmcm, No. 63

```
TmSc2Hg2
1.0
1.804 -12.979 0.000
1.804 12.979 0.000
0.000 0.000 5.038
Tm Sc Hg
2 4 4
direct
0.147 0.853 0.750
0.853 0.147 0.250
0.049 0.951 0.250
0.238 0.762 0.250
0.762 0.238 0.750
0.951 0.049 0.750
0.353 0.647 0.750
0.456 0.544 0.250
0.544 0.456 0.750
0.647 0.353 0.250
```

=====

Which of these has the highest density of states at the Fermi level?
CaUPa2P4

=====

The highest density of states at the Fermi level belongs to which entry?
CaUPa2P4

=====

The lowest density of states at the Fermi level belongs to which entry?
MnCdIn2I